# 1
LaY2Ho: optimized geometry, PBE.

Cell: 3.6075 3.6075 35.1367 Å, 90.00 90.00 120.00°
Sites, in units of the cell vectors:
La (0.0000, 0.0000, 0.0000)
La (0.3333, 0.6667, 0.6667)
La (0.6667, 0.3333, 0.3333)
Y (0.0000, 0.0000, 0.2480)
Y (0.0000, 0.0000, 0.7520)
Y (0.3333, 0.6667, 0.4186)
Y (0.3333, 0.6667, 0.9147)
Y (0.6667, 0.3333, 0.0853)
Y (0.6667, 0.3333, 0.5814)
Ho (0.0000, 0.0000, 0.5000)
Ho (0.3333, 0.6667, 0.1667)
Ho (0.6667, 0.3333, 0.8333)

Output
As for the polymorph energy (0 for the lowest one): 20.1 meV per atom. Its symmetry is R-3m, No. 166.

# 2
KTi2Tc: optimized geometry, PBE.

Cell: 6.6943 6.6943 12.5366 Å, 90.00 90.00 90.00°
Sites, in units of the cell vectors:
K (0.0000, 0.2500, 0.3750)
K (0.0000, 0.7500, 0.6250)
K (0.5000, 0.2500, 0.1250)
K (0.5000, 0.7500, 0.8750)
Ti (0.0000, 0.0000, 0.0000)
Ti (0.0000, 0.5000, 0.0000)
Ti (0.2500, 0.2500, 0.7500)
Ti (0.2500, 0.7500, 0.2500)
Ti (0.5000, 0.0000, 0.5000)
Ti (0.5000, 0.5000, 0.5000)
Ti (0.7500, 0.2500, 0.7500)
Ti (0.7500, 0.7500, 0.2500)
Tc (0.0000, 0.2500, 0.8750)
Tc (0.0000, 0.7500, 0.1250)
Tc (0.5000, 0.2500, 0.6250)
Tc (0.5000, 0.7500, 0.3750)

Output
As for the polymorph energy (0 for the lowest one): 204.4 meV per atom. Its symmetry is I4_1/amd, No. 141.

# 3
MgScCd2: optimized geometry, PBE.

Cell: 4.8639 4.8639 3.6709 Å, 90.00 90.00 90.00°
Sites, in units of the cell vectors:
Mg (0.0000, 0.0000, 0.0000)
Sc (0.5000, 0.5000, 0.0000)
Cd (0.0000, 0.5000, 0.5000)
Cd (0.5000, 0.0000, 0.5000)

Output
Its symmetry is P4/mmm, No. 123. The total energy is -2.672 eV per atom.

# 4
NaPr: optimized geometry, PBE.

Cell: 3.6096 3.5576 11.5082 Å, 90.00 90.11 90.00°
Sites, in units of the cell vectors:
Na (0.2503, 0.2500, 0.1303)
Na (0.7497, 0.7500, 0.8697)
Pr (0.2508, 0.2500, 0.6151)
Pr (0.7492, 0.7500, 0.3849)

Output
As for the polymorph energy (0 for the lowest one): 9.8 meV per atom. Its symmetry is P2_1/m, No. 11.

# 5
LiAcCuSi2: optimized geometry, PBE.

Cell: 4.3285 4.3285 10.1746 Å, 90.00 90.00 90.00°
Sites, in units of the cell vectors:
Li (0.0000, 0.0000, 0.0000)
Li (0.5000, 0.5000, 0.5000)
Ac (0.0000, 0.5000, 0.7500)
Ac (0.5000, 0.0000, 0.2500)
Cu (0.0000, 0.0000, 0.5000)
Cu (0.5000, 0.5000, 0.0000)
Si (0.0000, 0.5000, 0.1307)
Si (0.0000, 0.5000, 0.3693)
Si (0.5000, 0.0000, 0.6307)
Si (0.5000, 0.0000, 0.8693)

Output
Its symmetry is I-4m2, No. 119. Its uncorrected formation energy is -0.477 eV per atom.

# 6
ZnSbPt2: optimized geometry, PBE.

Cell: 5.7758 6.6827 3.5847 Å, 90.00 90.19 90.00°
Sites, in units of the cell vectors:
Zn (0.0000, 0.0000, 0.0000)
Zn (0.5000, 0.5000, 0.0000)
Sb (0.0000, 0.5000, 0.0000)
Sb (0.5000, 0.0000, 0.0000)
Pt (0.2500, 0.2500, 0.5000)
Pt (0.2500, 0.7500, 0.5000)
Pt (0.7500, 0.2500, 0.5000)
Pt (0.7500, 0.7500, 0.5000)

Output
Its symmetry is C2/m, No. 12. Its uncorrected formation energy is -0.239 eV per atom.

# 7
ScAlCl2: optimized geometry, PBE.

Cell: 3.2599 4.3616 5.6886 Å, 90.00 90.00 90.00°
Sites, in units of the cell vectors:
Sc (0.0000, 0.0000, 0.0000)
Al (0.5000, 0.0000, 0.5000)
Cl (0.0000, 0.5000, 0.5000)
Cl (0.5000, 0.5000, 0.0000)

Output
As for the polymorph energy (0 for the lowest one): 256.4 meV per atom. Its symmetry is Pmmm, No. 47. Its uncorrected formation energy is -0.774 eV per atom.

# 8
CsLi2Al2: optimized geometry, PBE.

Cell: 8.8093 8.8093 3.2596 Å, 90.00 90.00 90.00°
Sites, in units of the cell vectors:
Cs (0.0000, 0.0000, 0.0000)
Cs (0.5000, 0.5000, 0.0000)
Li (0.1705, 0.3295, 0.0000)
Li (0.3295, 0.8295, 0.0000)
Li (0.6705, 0.1705, 0.0000)
Li (0.8295, 0.6705, 0.0000)
Al (0.1066, 0.6066, 0.5000)
Al (0.3934, 0.1066, 0.5000)
Al (0.6066, 0.8934, 0.5000)
Al (0.8934, 0.3934, 0.5000)

Output
As for the polymorph energy (0 for the lowest one): 0.0 meV per atom. Its symmetry is P4/mbm, No. 127.

Number 1: total moment 0.00 Bohr magnetons per cell. Number 2: total moment 7.54 Bohr magnetons per cell. Number 3: total moment 0.00 Bohr magnetons per cell. Number 4: total moment 0.00 Bohr magnetons per cell. Number 5: total moment 0.00 Bohr magnetons per cell. Number 6: total moment 0.00 Bohr magnetons per cell. Number 7: total moment 0.00 Bohr magnetons per cell. Number 8: total moment 0.00 Bohr magnetons per cell.